Entry 1:
A plane-wave DFT calculation with PBE was carried out for crystalline Tb2SbTe4 at its relaxed geometry.

## Properties
symmetry = C2/m, No. 12
calculated total energy = -4.612 eV/atom
total magnetization = 0.00 μB/cell

Cell lengths 4.3040, 7.6670, 8.6762 Å; angles 117.17, 104.36, 90.00 degrees
Fractional positions:
1 Tb 0.7417 0.7611 0.4835
2 Tb 0.2583 0.2389 0.5165
3 Sb 0.0000 0.0000 0.0000
4 Te 0.8794 0.2095 0.7589
5 Te 0.1206 0.7905 0.2411
6 Te 0.6356 0.2998 0.2712
7 Te 0.3644 0.7002 0.7288

Entry 2:
A plane-wave DFT calculation with PBE was carried out for crystalline Tb6SbTe3 at its relaxed geometry.

## Properties
symmetry = P2_1/m, No. 11
calculated total energy = -5.106 eV/atom
total magnetization = 0.00 μB/cell

Cell lengths 4.1301, 12.1532, 12.5639 Å; angles 104.64, 90.00, 90.00 degrees
Fractional positions:
1 Tb 0.7500 0.4844 0.6440
2 Tb 0.2500 0.5156 0.3560
3 Tb 0.7500 0.9542 0.1238
4 Tb 0.2500 0.0458 0.8762
5 Tb 0.7500 0.4228 0.1152
6 Tb 0.2500 0.5772 0.8848
7 Tb 0.7500 0.7572 0.3006
8 Tb 0.2500 0.2428 0.6994
9 Tb 0.7500 0.1154 0.4580
10 Tb 0.2500 0.8846 0.5420
11 Tb 0.7500 0.7892 0.7660
12 Tb 0.2500 0.2108 0.2340
13 Sb 0.7500 0.0450 0.6879
14 Sb 0.2500 0.9550 0.3121
15 Te 0.7500 0.3858 0.8569
16 Te 0.2500 0.6142 0.1431
17 Te 0.7500 0.6775 0.5143
18 Te 0.2500 0.3225 0.4857
19 Te 0.7500 0.1660 0.0443
20 Te 0.2500 0.8340 0.9557